First-principles (PBE) data for crystalline Tm3S2 at its relaxed geometry, as listed in the Alexandria database.

Its crystal system is trigonal. The energy relative to the elements, uncorrected is -1.55 eV/atom.

It has space group R-3m (No. 166, hexagonal axes), with a = 3.7455 Å, b = 3.7455 Å, c = 28.2430 Å, α = 90.00°, β = 90.00° and γ = 120.00°. The asymmetric unit holds Tm at (0.0000, 0.0000, 0.0000), Tm at (0.0000, 0.0000, 0.2153) and S at (0.0000, 0.0000, 0.3905).